GGA-PBE TaHRu2, relaxed; E above lowest polymorph = 231 meV per atom; uncorrected energy = -8.242 eV/atom
1.0
-1.358 -0.743 -2.604
0.676 -2.914 0.479
-4.903 -0.684 2.752
Ru H Ta
2 1 1
Direct
0.000 0.000 0.782 Ru
0.000 0.000 0.218 Ru
0.500 0.500 0.000 H
0.500 0.500 0.500 Ta